Entry 1:
# Ba2ZrHgW | Alexandria | GGA-PBE | relaxed
data_Ba2ZrHgW
_chemical_formula_sum 'Ba2 Zr1 Hg1 W1'
_space_group_name_H-M_alt 'P 1'
_space_group_IT_number 1
_space_group_name_Hall 'P 1'
_cell_length_a 6.0769
_cell_length_b 5.3478
_cell_length_c 6.0769
_cell_angle_alpha 90.00
_cell_angle_beta 90.00
_cell_angle_gamma 90.00
loop_
_atom_site_label
_atom_site_fract_x
_atom_site_fract_y
_atom_site_fract_z
Zr1 0.0000 0.0000 0.0000
Ba1 0.0000 0.0000 0.5000
Ba2 0.5000 0.0000 0.0000
Hg1 0.0000 0.5000 0.0000
W1 0.5000 0.5000 0.5000
# Spin magnetization   0.10 μB per formula unit
# Final energy   -0.118 hartree per atom
# Energy of formation from the pure elements   1.9284 eV/atom



Entry 2:
# BaYHg2 | Alexandria | GGA-PBE | relaxed
data_BaYHg2
_chemical_formula_sum 'Ba1 Y1 Hg2'
_space_group_name_H-M_alt 'P 1'
_space_group_IT_number 1
_space_group_name_Hall 'P 1'
_cell_length_a 6.6897
_cell_length_b 6.6897
_cell_length_c 6.6897
_cell_angle_alpha 146.72
_cell_angle_beta 130.90
_cell_angle_gamma 60.61
loop_
_atom_site_label
_atom_site_fract_x
_atom_site_fract_y
_atom_site_fract_z
Hg1 0.7581 0.2581 0.5000
Hg2 0.9738 0.9738 0.0000
Y1 0.5310 0.5310 0.0000
Ba1 0.2371 0.7371 0.5000
# Spin magnetization   0.00 μB per formula unit
# Final energy   -0.092 hartree per atom
# Energy of formation from the pure elements   -0.2660 eV/atom



Entry 3:
# BaYHg4 | Alexandria | GGA-PBE | relaxed
data_BaYHg4
_chemical_formula_sum 'Ba1 Y1 Hg4'
_space_group_name_H-M_alt 'P 1'
_space_group_IT_number 1
_space_group_name_Hall 'P 1'
_cell_length_a 6.1830
_cell_length_b 6.1830
_cell_length_c 6.1830
_cell_angle_alpha 60.00
_cell_angle_beta 60.00
_cell_angle_gamma 60.00
loop_
_atom_site_label
_atom_site_fract_x
_atom_site_fract_y
_atom_site_fract_z
Hg1 0.3757 0.3757 0.3757
Hg2 0.3757 0.3757 0.8730
Hg3 0.3757 0.8730 0.3757
Hg4 0.8730 0.3757 0.3757
Y1 0.7500 0.7500 0.7500
Ba1 0.0000 0.0000 0.0000
# ΔE to the lowest computed polymorph   15.28 kJ per mole of atoms
# Spin magnetization   0.00 μB per formula unit
# Final energy   -0.068 hartree per atom
# Energy of formation from the pure elements   -0.2421 eV/atom



Entry 4:
# Ba3YHg4 | Alexandria | GGA-PBE | relaxed
data_Ba3YHg4
_chemical_formula_sum 'Ba3 Y1 Hg4'
_space_group_name_H-M_alt 'P 1'
_space_group_IT_number 1
_space_group_name_Hall 'P 1'
_cell_length_a 4.0259
_cell_length_b 4.0259
_cell_length_c 16.6439
_cell_angle_alpha 90.00
_cell_angle_beta 90.00
_cell_angle_gamma 90.00
loop_
_atom_site_label
_atom_site_fract_x
_atom_site_fract_y
_atom_site_fract_z
Ba1 0.5000 0.5000 0.5000
Ba2 0.5000 0.5000 0.7643
Ba3 0.5000 0.5000 0.2357
Hg1 0.0000 0.0000 0.9024
Hg2 0.0000 0.0000 0.6309
Hg3 0.0000 0.0000 0.3691
Hg4 0.0000 0.0000 0.0976
Y1 0.5000 0.5000 0.0000
# Spin magnetization   0.00 μB per formula unit
# Final energy   -0.080 hartree per atom
# Energy of formation from the pure elements   -0.4901 eV/atom



Entry 5:
# BaYHg4 | Alexandria | GGA-PBE | relaxed
data_BaYHg4
_chemical_formula_sum 'Ba1 Y1 Hg4'
_space_group_name_H-M_alt 'P 1'
_space_group_IT_number 1
_space_group_name_Hall 'P 1'
_cell_length_a 4.0158
_cell_length_b 4.0158
_cell_length_c 10.6300
_cell_angle_alpha 90.00
_cell_angle_beta 90.00
_cell_angle_gamma 90.00
loop_
_atom_site_label
_atom_site_fract_x
_atom_site_fract_y
_atom_site_fract_z
Y1 0.5000 0.5000 0.5000
Hg1 0.5000 0.5000 0.8036
Hg2 0.0000 0.0000 0.6489
Hg3 0.0000 0.0000 0.3511
Hg4 0.5000 0.5000 0.1964
Ba1 0.0000 0.0000 0.0000
# ΔE to the lowest computed polymorph   0.00 kJ per mole of atoms
# Spin magnetization   0.00 μB per formula unit
# Final energy   -0.073 hartree per atom
# Energy of formation from the pure elements   -0.4004 eV/atom



Entry 6:
# BaY2Hg | Alexandria | GGA-PBE | relaxed
data_BaY2Hg
_chemical_formula_sum 'Ba1 Y2 Hg1'
_space_group_name_H-M_alt 'P 1'
_space_group_IT_number 1
_space_group_name_Hall 'P 1'
_cell_length_a 5.0285
_cell_length_b 5.0285
_cell_length_c 5.1645
_cell_angle_alpha 90.00
_cell_angle_beta 90.00
_cell_angle_gamma 90.00
loop_
_atom_site_label
_atom_site_fract_x
_atom_site_fract_y
_atom_site_fract_z
Ba1 0.5000 0.0000 0.5000
Y1 0.5000 0.5000 0.0000
Y2 0.0000 0.0000 0.0000
Hg1 0.0000 0.5000 0.5000
# Spin magnetization   0.00 μB per formula unit
# Final energy   -0.137 hartree per atom
# Energy of formation from the pure elements   0.0471 eV/atom



Results for theoretical density: 6.31, 8.47, 10.22, 8.02, 9.96, 6.56 (in Mg/m³, following the order of the records).